4
Lattice="5.296 0.000 0.000 2.648 4.586 0.000 2.648 1.529 4.324" Properties=species:S:1:pos:R:3 comment="NaPaIn2 | Alexandria via LeMat-Bulk | GGA-PBE | relaxed" magmom_total_mub_per_cell=1.26 delta_e_f_ev_per_atom=0.142 density_g_cm3=7.6 vol_a3_per_atom=26.3 pbc="T T T"
Na 5.296 3.058 2.162
Pa 0.000 0.000 0.000
In 2.648 1.529 1.081
In 7.944 4.586 3.243


4
Lattice="2.664 0.001 0.000 -1.131 2.412 0.000 0.000 0.000 8.363" Properties=species:S:1:pos:R:3 comment="BeTc2Os | Alexandria via LeMat-Bulk | GGA-PBE | relaxed" magmom_total_mub_per_cell=0.00 delta_e_f_ev_per_atom=0.251 density_g_cm3=12.2 vol_a3_per_atom=13.4 pbc="T T T"
Be 0.000 0.000 4.196
Os 0.766 1.207 6.083
Tc 0.000 0.000 0.021
Tc 0.766 1.207 2.244


80
Lattice="-6.234 -6.461 6.266 -2.110 -2.014 -10.553 10.564 -2.012 2.058" Properties=species:S:1:pos:R:3 comment="U3Ti5O12 | Alexandria via LeMat-Bulk | GGA-PBE | relaxed" magmom_total_mub_per_cell=35.96 density_g_cm3=7.5 vol_a3_per_atom=12.6 e_form_raw_ev_per_atom=-2.771 pbc="T T T"
U -4.147 -5.853 0.999
U -5.717 -7.415 -2.175
U 2.682 -5.191 -4.279
U 2.139 -2.622 1.019
U -3.078 -6.408 4.678
U -1.016 -4.185 -3.731
U 3.235 -6.303 1.502
U 5.297 -4.079 -6.907
U 0.080 -7.866 -3.248
U -0.463 -5.296 2.050
U 7.936 -3.072 -0.054
U 6.366 -4.635 -3.228
O -4.358 -4.885 3.235
O 1.208 -3.965 -2.740
O -3.776 -7.617 2.671
O -2.474 -4.089 1.361
O 2.007 -6.599 -2.397
O -5.400 -7.816 0.216
O 0.675 -4.493 -5.489
O -1.214 -2.661 -8.802
O 1.447 -7.135 -5.139
O -3.772 -6.129 -1.401
O -1.912 -6.820 0.777
O -6.720 -7.196 -4.394
O 3.352 -3.273 -5.639
O -2.293 -3.456 -1.762
O 1.536 -3.169 -8.262
O 3.419 -4.087 2.521
O 1.278 -1.356 -0.904
O -3.408 -4.586 -4.037
O -3.969 -7.724 -3.874
O -0.664 -1.788 -3.399
O 3.940 -5.997 -6.230
O -0.646 -5.891 -2.002
O -1.804 -8.597 -1.872
O 4.019 -7.589 3.445
O 2.865 -4.596 -0.227
O 4.023 -1.890 -0.357
O -1.800 -2.898 -5.674
O 6.188 -2.764 1.645
O -1.721 -4.490 4.001
O 2.883 -8.699 1.170
O 5.627 -5.902 1.808
O -1.200 -6.400 -4.750
O 0.941 -9.132 -1.325
O 0.683 -7.318 6.033
O -1.133 -7.214 3.410
O 8.939 -3.292 2.165
O 4.512 -7.031 -0.467
O 0.772 -3.353 2.910
O 5.991 -4.359 -0.828
O 4.131 -3.668 -3.006
O 3.433 -7.826 6.573
O 1.544 -5.994 3.260
O 4.693 -6.399 -3.590
O 7.619 -2.671 -2.445
O 0.212 -3.888 0.168
O 5.995 -2.871 -4.900
O 1.011 -6.523 0.511
O 6.577 -5.602 -5.464
Ti 1.070 -2.066 -2.660
Ti -1.055 -1.007 -5.277
Ti 0.000 0.000 0.000
Ti -1.545 -3.178 -0.031
Ti 2.165 -4.237 4.162
Ti -4.172 -4.237 -2.143
Ti 1.599 -3.073 -6.360
Ti 4.304 -6.859 5.181
Ti -2.033 -6.859 -1.124
Ti 5.321 -4.184 2.574
Ti -3.102 -6.303 -4.803
Ti 1.110 -5.244 -1.114
Ti -3.117 -3.231 3.133
Ti 5.282 -1.006 1.029
Ti 4.252 -3.628 -1.105
Ti -2.085 -3.629 -7.410
Ti 4.227 -2.013 -4.248
Ti 0.620 -7.415 4.131
Ti 3.764 -7.309 -2.198
Ti 1.149 -8.422 0.431


4
Lattice="7.651 -0.003 0.000 4.502 6.186 0.000 -6.077 -3.092 3.472" Properties=species:S:1:pos:R:3 comment="K2InBr | Alexandria via LeMat-Bulk | GGA-PBE | relaxed" magmom_total_mub_per_cell=0.00 density_g_cm3=2.8 vol_a3_per_atom=41.1 e_form_raw_ev_per_atom=-0.534 pbc="T T T"
Br 6.077 3.092 0.000
In 3.825 -0.001 1.736
K 0.000 0.000 0.000
K 2.251 3.093 1.736


Number 1: E -15.72 eV for the cell shown. Number 2: E -34.69 eV for the cell shown. Number 3: E -753.06 eV for the cell shown. Number 4: E -8.74 eV for the cell shown.